# 1
K2H6PtRh PBE relaxed; volume = 121.8 Å³/cell; energy = -3.799 eV/atom; ρ = 5.21 g/cm3
1.0
-3.970 -2.518 1.501
1.702 0.076 4.632
-3.552 3.080 3.886
K H Pt Rh
2 6 1 1
direct
0.750 0.250 0.500
0.250 0.750 0.500
0.167 0.167 0.665
0.747 0.747 0.000
0.253 0.747 0.000
0.747 0.253 0.000
0.253 0.253 0.000
0.833 0.833 0.335
0.500 0.500 0.000
0.000 0.000 0.000


# 2
KSbH2Pt PBE relaxed; volume = 124.1 Å³/cell; energy = -2.692 eV/atom; ρ = 4.79 g/cm3
1.0
3.986 0.000 0.000
0.000 7.810 0.000
0.000 0.000 3.986
Sb K Pt H
1 1 1 2
direct
0.000 0.500 0.000
0.000 0.000 0.000
0.500 0.500 0.500
0.000 0.000 0.500
0.500 0.000 0.000


# 3
KSrH8Pt2 PBE relaxed; volume = 157.4 Å³/cell; energy = -3.591 eV/atom; ρ = 5.54 g/cm3
1.0
5.319 0.000 0.000
2.660 4.607 0.000
2.660 1.536 6.423
K Sr H Pt
1 1 8 2
direct
0.500 0.500 0.500
0.000 0.000 0.000
0.204 0.204 0.388
0.499 0.432 0.154
0.796 0.796 0.612
0.915 0.499 0.154
0.085 0.501 0.846
0.432 0.915 0.154
0.568 0.085 0.846
0.501 0.568 0.846
0.286 0.286 0.141
0.714 0.714 0.859


# 4
K2Tl2H4Pt PBE relaxed; volume = 191.7 Å³/cell; energy = -3.003 eV/atom; ρ = 5.94 g/cm3
1.0
6.364 0.139 0.201
-2.932 5.649 -0.201
-2.932 -2.173 5.219
K Tl H Pt
2 2 4 1
direct
0.500 0.750 0.250
0.500 0.250 0.750
0.000 0.671 0.671
0.000 0.329 0.329
0.000 0.822 0.178
0.645 0.822 0.822
0.000 0.178 0.822
0.355 0.178 0.178
0.000 0.000 0.000


# 5
KVH2Pt PBE relaxed; volume = 100.1 Å³/cell; energy = -3.255 eV/atom; ρ = 4.77 g/cm3
1.0
3.798 0.000 0.000
0.000 6.936 0.000
0.000 0.000 3.798
H K Pt V
2 1 1 1
direct
0.000 0.000 0.500
0.500 0.000 0.000
0.000 0.000 0.000
0.500 0.500 0.500
0.000 0.500 0.000


# 6
K2ZnH6Pt PBE relaxed; volume = 137.5 Å³/cell; energy = -3.236 eV/atom; ρ = 4.16 g/cm3
1.0
5.802 -0.001 0.000
-0.001 5.802 0.000
-2.900 -2.900 4.085
K Zn H Pt
2 1 6 1
direct
0.750 0.250 0.500
0.250 0.750 0.500
0.500 0.500 0.000
0.795 0.796 0.000
0.794 0.795 0.589
0.204 0.205 0.000
0.796 0.205 0.000
0.206 0.206 0.411
0.204 0.796 0.000
0.000 0.000 0.000


# 7
KZrH2Pt PBE relaxed; volume = 95.3 Å³/cell; energy = -4.458 eV/atom; ρ = 5.70 g/cm3
1.0
-0.872 3.953 -1.442
-4.831 -0.419 1.772
1.240 1.649 3.770
H K Zr Pt
2 1 1 1
direct
0.000 0.000 0.500
0.500 0.000 0.000
0.500 0.500 0.500
0.000 0.000 0.000
0.000 0.500 0.000


# 8
KPuH3 PBE relaxed; volume = 90.8 Å³/cell; energy = -5.153 eV/atom; ρ = 5.23 g/cm3
1.0
-0.409 -1.053 -4.350
-0.290 -4.353 1.081
-4.466 0.379 0.328
H K Pu
3 1 1
direct
0.000 0.500 0.000
0.000 0.000 0.500
0.500 0.000 0.000
0.500 0.500 0.500
0.000 0.000 0.000


# 9
K2PuH6 PBE relaxed; volume = 169.0 Å³/cell; energy = -3.885 eV/atom; ρ = 3.23 g/cm3
1.0
5.374 0.000 3.103
1.791 5.067 3.103
0.000 0.000 6.205
H K Pu
6 2 1
direct
0.242 0.758 0.242
0.758 0.242 0.242
0.242 0.758 0.758
0.758 0.242 0.758
0.758 0.758 0.242
0.242 0.242 0.758
0.750 0.750 0.750
0.250 0.250 0.250
0.000 0.000 0.000


# 10
KRb2PuH6 PBE relaxed; volume = 217.9 Å³/cell; energy = -3.818 eV/atom; ρ = 3.51 g/cm3
1.0
6.754 0.000 0.000
0.000 6.755 0.000
3.377 3.377 4.776
K Rb Pu H
1 2 1 6
direct
0.000 0.000 0.000
0.250 0.750 0.500
0.750 0.250 0.500
0.500 0.500 0.000
0.268 0.732 0.000
0.732 0.732 0.000
0.268 0.268 0.465
0.732 0.268 0.000
0.268 0.268 0.000
0.732 0.732 0.535


# 11
K2PuH12Rh3 PBE relaxed; volume = 192.9 Å³/cell; energy = -4.631 eV/atom; ρ = 5.53 g/cm3
1.0
6.322 -0.173 -0.123
2.971 5.583 -0.123
2.971 1.729 5.309
K Pu H Rh
2 1 12 3
direct
0.609 0.609 0.609
0.391 0.391 0.391
0.000 0.000 0.000
0.283 0.283 0.894
0.874 0.874 0.422
0.422 0.874 0.874
0.894 0.283 0.283
0.874 0.422 0.874
0.283 0.894 0.283
0.717 0.717 0.106
0.126 0.126 0.578
0.578 0.126 0.126
0.106 0.717 0.717
0.126 0.578 0.126
0.717 0.106 0.717
0.500 0.000 0.000
0.000 0.500 0.000
0.000 0.000 0.500


# 12
KRb3H PBE relaxed; volume = 284.7 Å³/cell; energy = -1.438 eV/atom; ρ = 1.73 g/cm3
1.0
6.579 0.000 0.000
0.000 6.579 0.000
0.000 0.000 6.579
H K Rb
1 1 3
direct
0.000 0.000 0.000
0.500 0.500 0.500
0.000 0.500 0.000
0.000 0.000 0.500
0.500 0.000 0.000


# 13
KRbH PBE relaxed; volume = 120.2 Å³/cell; relative energy among the computed polymorphs = 24 meV per atom; ρ = 1.74 g/cm3
1.0
-3.373 -1.018 -2.423
0.428 -2.863 -3.150
-2.737 -6.774 3.069
K Rb H
1 1 1
direct
0.496 0.887 0.526
0.018 0.419 0.974
0.761 0.157 0.737


# 14
K3Rb6H PBE relaxed; volume = 1493.6 Å³/cell; energy = -1.244 eV/atom; ρ = 1.40 g/cm3
1.0
8.315 0.000 0.000
0.000 12.766 -6.122
0.000 -0.179 14.157
K Rb H
6 12 2
direct
0.604 0.912 0.751
0.104 0.751 0.912
0.104 0.420 0.580
0.604 0.580 0.420
0.104 0.088 0.249
0.604 0.249 0.088
0.105 0.747 0.581
0.605 0.581 0.747
0.242 0.403 0.905
0.742 0.905 0.403
0.106 0.092 0.908
0.778 0.244 0.756
0.278 0.756 0.244
0.606 0.908 0.092
0.242 0.095 0.597
0.742 0.597 0.095
0.105 0.419 0.253
0.605 0.253 0.419
0.095 0.208 0.792
0.595 0.792 0.208


# 15
K6Rb9H PBE relaxed; volume = 1200.1 Å³/cell; energy = -1.154 eV/atom; ρ = 1.39 g/cm3
1.0
-7.508 -7.397 2.562
3.629 -6.433 -7.943
8.463 2.551 9.206
K Rb H
6 9 1
direct
0.730 0.917 0.000
0.270 0.083 0.000
0.917 0.270 0.000
0.083 0.730 0.000
0.852 0.852 0.703
0.148 0.148 0.297
0.964 0.763 0.328
0.364 0.565 0.328
0.763 0.364 0.328
0.565 0.964 0.328
0.036 0.237 0.672
0.636 0.435 0.672
0.237 0.636 0.672
0.435 0.036 0.672
0.500 0.500 0.000
0.000 0.000 0.000


# 16
KRbH PBE relaxed; volume = 240.8 Å³/cell; relative energy among the computed polymorphs = 22 meV per atom; ρ = 1.73 g/cm3
1.0
-1.800 -3.871 -0.396
4.902 -2.760 4.826
-6.405 2.679 4.010
K Rb H
2 2 2
direct
0.744 0.006 0.282
0.256 0.994 0.718
0.245 0.503 0.272
0.755 0.497 0.728
0.751 0.766 0.503
0.249 0.234 0.497


# 17
KRb2H PBE relaxed; volume = 220.2 Å³/cell; relative energy among the computed polymorphs = 370 meV per atom; ρ = 1.59 g/cm3
1.0
0.000 4.793 4.793
4.793 0.000 4.793
4.793 4.793 0.000
H K Rb
1 1 2
direct
0.000 0.000 0.000
0.500 0.500 0.500
0.250 0.250 0.250
0.750 0.750 0.750


# 18
KRb2H PBE relaxed; volume = 493.7 Å³/cell; relative energy among the computed polymorphs = 24 meV per atom; ρ = 1.42 g/cm3
1.0
-3.431 -0.714 8.233
5.343 -6.992 1.621
5.300 -0.037 7.068
H K Rb
2 2 4
direct
0.500 0.500 0.000
0.250 0.750 0.500
0.000 0.000 0.000
0.750 0.250 0.500
0.429 0.125 0.250
0.321 0.625 0.250
0.375 0.571 0.750
0.875 0.679 0.750


# 19
K6Rb2H PBE relaxed; volume = 1142.0 Å³/cell; energy = -1.315 eV/atom; ρ = 1.18 g/cm3
1.0
-5.092 7.166 -4.410
9.664 -9.719 -5.271
-7.859 -6.770 -1.927
K Rb H
12 4 2
direct
0.263 0.764 0.000
0.216 0.500 0.204
0.284 0.000 0.296
0.216 0.500 0.796
0.284 0.000 0.704
0.237 0.736 0.500
0.737 0.236 0.000
0.784 0.500 0.796
0.716 0.000 0.704
0.784 0.500 0.204
0.716 0.000 0.296
0.763 0.264 0.500
0.281 0.283 0.500
0.219 0.217 0.000
0.781 0.783 0.000
0.719 0.717 0.500
0.500 0.000 0.500
0.000 0.500 0.000


# 20
K2Rb8H PBE relaxed; volume = 862.6 Å³/cell; energy = -1.161 eV/atom; ρ = 1.47 g/cm3
1.0
13.702 -0.564 -0.515
-1.353 7.797 -4.490
-1.220 -1.234 8.931
K Rb H
2 8 1
direct
0.000 0.373 0.627
0.000 0.627 0.373
0.806 0.033 0.745
0.806 0.745 0.033
0.361 0.649 0.649
0.500 0.816 0.184
0.500 0.184 0.816
0.639 0.351 0.351
0.194 0.255 0.967
0.194 0.967 0.255
0.500 0.000 0.000